Here is BaPm2MoO8 after structural relaxation from the Alexandria database. Energies are from PBE with a Hubbard U.

The structure in POSCAR format:
```
BaPm2MoO8
1.0
4.4220 0.0000 0.0000
0.0858 5.3980 0.0000
2.1969 -0.0312 7.0766
Ba Pm Mo O
1 2 1 8
Direct
0.0000 0.0000 0.0000
0.3136 0.4860 0.3142
0.6864 0.5140 0.6858
0.5000 0.0000 0.5000
0.1917 0.2515 0.6243
0.2167 0.7208 0.6023
0.3315 0.5003 0.9929
0.3850 0.0254 0.2664
0.6150 0.9746 0.7336
0.6685 0.4997 0.0071
0.7833 0.2792 0.3977
0.8083 0.7485 0.3757
```

Computed properties:
As for the density: 6.402 g/cm3. Its space-group type is No. 2. Its crystal system is triclinic. As for the total DFT energy (no corrections): -87.22 eV for the cell shown.